# 1
TbSmCoIr | PBE-GGA | optimized geometry

Properties
crystal system = cubic
V = 81 Å³/cell
energy of formation = -0.4160 eV per atom
magnetization = 0.5 μB/cell

```
TbSmCoIr
1.0
4.8661 0.0000 0.0000
2.4331 4.2142 0.0000
2.4331 1.4047 3.9732
Co Ir Tb Sm
1 1 1 1
direct
0.5000 0.5000 0.5000
0.0000 0.0000 0.0000
0.7500 0.7500 0.7500
0.2500 0.2500 0.2500
```


# 2
LiTbAu6 | PBE-GGA | optimized geometry

Properties
crystal system = monoclinic
V = 151 Å³/cell
energy of formation = -0.4979 eV per atom
magnetization = 0.0 μB/cell

```
LiTbAu6
1.0
-0.5817 -4.2477 0.7705
2.2845 -3.1307 -3.2211
6.1550 -2.2672 4.4616
Li Tb Au
1 1 6
direct
0.0000 0.0000 0.0000
0.0000 0.5000 0.5000
0.2421 0.8619 0.6538
0.5094 0.2292 0.7520
0.2471 0.3924 0.1134
0.4906 0.7708 0.2480
0.7579 0.1381 0.3462
0.7529 0.6076 0.8866
```


# 3
La3Pa3NbN8 | PBE-GGA | optimized geometry

Properties
crystal system = trigonal
V = 249 Å³/cell
magnetization = 0.0 μB/cell
uncorrected energy = -9.41 eV/atom

```
La3Pa3NbN8
1.0
-1.6293 -6.4926 -1.9486
3.2347 4.2701 -4.4619
3.6268 -2.5898 5.5967
La Pa Nb N
3 3 1 8
direct
0.0000 0.0000 0.0000
0.0000 0.5000 0.0000
0.5000 0.5000 0.0000
0.5000 0.0000 0.5000
0.5000 0.5000 0.5000
0.0000 0.5000 0.5000
0.0000 0.0000 0.5000
0.2648 0.5296 0.2944
0.7352 0.4704 0.7056
0.7790 0.5581 0.3093
0.2210 0.4419 0.6907
0.7790 0.0302 0.3093
0.2210 0.9698 0.6907
0.2512 0.0302 0.3093
0.7488 0.9698 0.6907
```


# 4
CaSm2PuSe4 | PBE-GGA | optimized geometry

Properties
crystal system = tetragonal
V = 205 Å³/cell
magnetization = 5.8 μB/cell
uncorrected energy = -6.76 eV/atom

```
CaSm2PuSe4
1.0
-2.0722 -4.7189 2.8591
5.0156 -0.3383 3.0767
-3.7774 6.0532 1.1783
Ca Sm Pu Se
1 2 1 4
direct
0.5000 0.5000 0.0000
0.2500 0.7500 0.5000
0.0000 0.0000 0.0000
0.7500 0.2500 0.5000
0.9991 0.4991 0.9981
0.5009 0.0009 0.0019
0.7479 0.7479 0.4957
0.2521 0.2521 0.5043
```


# 5
SmGe2Rh4 | PBE-GGA | optimized geometry

Properties
crystal system = orthorhombic
V = 463 Å³/cell
energy of formation = -0.6766 eV per atom
magnetization = 0.0 μB/cell

```
SmGe2Rh4
1.0
-2.0087 -1.4494 -3.3424
-5.1436 -1.5453 3.7614
-6.6055 15.3976 -2.7071
Ge Rh Sm
8 16 4
direct
0.2500 0.7355 0.5389
0.7500 0.2645 0.4611
0.7500 0.2355 0.9611
0.2500 0.7645 0.0389
0.2500 0.9783 0.7815
0.7500 0.0217 0.2185
0.7500 0.4783 0.7185
0.2500 0.5217 0.2815
0.2500 0.2729 0.6921
0.7500 0.7271 0.3079
0.7500 0.7729 0.8079
0.2500 0.2271 0.1921
0.2500 0.6885 0.6858
0.7500 0.3115 0.3142
0.7500 0.1885 0.8142
0.2500 0.8115 0.1858
0.2500 0.1431 0.5309
0.7500 0.8569 0.4691
0.7500 0.6431 0.9691
0.2500 0.3569 0.0309
0.2500 0.4970 0.4254
0.7500 0.5030 0.5746
0.7500 0.9970 0.0746
0.2500 0.0030 0.9254
0.7500 0.9962 0.6378
0.2500 0.0038 0.3622
0.2500 0.4962 0.8622
0.7500 0.5038 0.1378
```


# 6
BeZn3Si | PBE-GGA | optimized geometry

Properties
crystal system = cubic
V = 105 Å³/cell
magnetization = 0.0 μB/cell
uncorrected energy = -1.74 eV/atom

```
BeZn3Si
1.0
-4.3533 -1.7165 -0.6465
1.8342 -4.0612 -1.5677
0.0138 -1.6958 4.4091
Be Zn Si
1 3 1
direct
0.5000 0.5000 0.5000
0.0000 0.5000 0.0000
0.0000 0.0000 0.5000
0.5000 0.0000 0.0000
0.0000 0.0000 0.0000
```


# 7
Sn2Bi2Pb5 | PBE-GGA | optimized geometry

Properties
crystal system = orthorhombic
V = 585 Å³/cell
energy of formation = 0.1049 eV per atom
magnetization = 0.0 μB/cell

```
Sn2Bi2Pb5
1.0
9.4646 0.0000 0.0000
0.0000 8.6277 0.0000
-4.7323 -4.3139 7.1604
Sn Bi Pb
4 4 10
direct
0.0000 0.0823 0.0000
0.5000 0.5823 0.0000
0.3245 0.4193 0.5000
0.6755 0.9193 0.5000
0.1404 0.5846 0.2312
0.8596 0.3535 0.7688
0.5907 0.0846 0.2312
0.4093 0.8535 0.7688
0.1462 0.6684 0.8437
0.8538 0.8246 0.1563
0.1975 0.1684 0.8437
0.8025 0.3246 0.1563
0.2769 0.9686 0.2716
0.7231 0.6970 0.7284
0.4947 0.4686 0.2716
0.5053 0.1970 0.7284
0.9662 0.7377 0.5000
0.0338 0.2377 0.5000
```


# 8
Ce4SiSbSe2 | PBE-GGA | optimized geometry

Properties
crystal system = monoclinic
V = 223 Å³/cell
magnetization = 3.4 μB/cell
uncorrected energy = -6.33 eV/atom

```
Ce4SiSbSe2
1.0
-1.7830 -2.2517 -3.1862
-2.6565 -4.8281 4.8985
-6.7879 2.1971 2.2457
Ce Si Sb Se
4 1 1 2
direct
0.0000 0.7571 0.7360
0.0000 0.2429 0.2640
0.5000 0.7484 0.2617
0.5000 0.2516 0.7383
0.0000 0.5000 0.5000
0.5000 0.5000 0.0000
0.0000 0.0000 0.0000
0.5000 0.0000 0.5000
```


# 9
SrIn2Te2 | PBE-GGA | optimized geometry

Properties
crystal system = tetragonal
V = 327 Å³/cell
magnetization = 0.0 μB/cell
uncorrected energy = -3.21 eV/atom

```
SrIn2Te2
1.0
8.7153 0.0000 0.0000
0.0000 8.7153 0.0000
0.0000 0.0000 4.3017
Sr Te In
2 4 4
direct
0.0000 0.0000 0.0000
0.5000 0.5000 0.0000
0.1929 0.6929 0.5000
0.6929 0.8071 0.5000
0.8071 0.3071 0.5000
0.3071 0.1929 0.5000
0.3826 0.8826 0.0000
0.8826 0.6174 0.0000
0.6174 0.1174 0.0000
0.1174 0.3826 0.0000
```


# 10
B3PC | PBE-GGA | optimized geometry

Properties
crystal system = monoclinic
V = 96 Å³/cell
energy of formation = 0.2550 eV per atom
magnetization = 0.0 μB/cell

```
B3PC
1.0
5.9009 0.0000 -0.0006
0.0000 2.9112 0.0000
-1.1692 0.0000 5.5942
P C B
2 2 6
direct
0.0301 0.0000 0.7750
0.0301 0.5000 0.2750
0.6049 0.0000 0.3374
0.6049 0.5000 0.8374
0.6884 0.0000 0.7579
0.6884 0.5000 0.2579
0.1542 0.0000 0.4839
0.1542 0.5000 0.9839
0.4399 0.0000 0.4993
0.4399 0.5000 0.9993
```


Q: What is the formula in the third record?
A: La3Pa3NbN8


Repeat the ninth record exactly.
SrIn2Te2 | PBE-GGA | optimized geometry

Properties
crystal system = tetragonal
V = 327 Å³/cell
magnetization = 0.0 μB/cell
uncorrected energy = -3.21 eV/atom

```
SrIn2Te2
1.0
8.7153 0.0000 0.0000
0.0000 8.7153 0.0000
0.0000 0.0000 4.3017
Sr Te In
2 4 4
direct
0.0000 0.0000 0.0000
0.5000 0.5000 0.0000
0.1929 0.6929 0.5000
0.6929 0.8071 0.5000
0.8071 0.3071 0.5000
0.3071 0.1929 0.5000
0.3826 0.8826 0.0000
0.8826 0.6174 0.0000
0.6174 0.1174 0.0000
0.1174 0.3826 0.0000
```